Here is Ca3Pu2NpN6 after structural relaxation from Alexandria. Energies are from PBE.

Output
Uncorrected formation energy: -14.449 eV per formula unit
DOS at the Fermi energy: 18.32 states/eV/f.u.

```
data_Ca3Pu2NpN6
_symmetry_space_group_name_H-M 'C 1 2/m 1'
_symmetry_Int_Tables_number 12
_symmetry_space_group_name_Hall '-C 2y'
_cell_length_a 6.0599
_cell_length_b 10.4968
_cell_length_c 6.0184
_cell_angle_alpha 90.00
_cell_angle_beta 109.62
_cell_angle_gamma 90.00
loop_
_atom_site_label
_atom_site_type_symbol
_atom_site_fract_x
_atom_site_fract_y
_atom_site_fract_z
Ca1 Ca 0.0000 0.0000 0.0000
Ca2 Ca 0.0000 0.3335 0.0000
Pu1 Pu 0.0000 0.1667 0.5000
Np1 Np 0.0000 0.5000 0.5000
N1 N 0.2325 0.3388 0.7138
N2 N 0.2484 0.0000 0.7118
```